# LaSb3H | Alexandria via LeMat-Bulk | PBE | optimized geometry
# - Distance to the lowest polymorph of the same formula: 0.00 eV per formula unit
# - Calculated total energy: -22.0 eV/cell
# - Fermi-level density of states: 1.40 states/eV/cell
data_LaSb3H
_cell_length_a 4.867
_cell_length_b 4.867
_cell_length_c 4.867
_cell_angle_alpha 90.00
_cell_angle_beta 90.00
_cell_angle_gamma 90.00
_space_group_name_H-M_alt 'P m -3 m'
_space_group_IT_number 221
_space_group_name_Hall '-P 4 2 3'
loop_
_atom_site_label
_atom_site_fract_x
_atom_site_fract_y
_atom_site_fract_z
_atom_site_occupancy
La1 0.000 0.000 0.000 1
Sb1 0.000 0.500 0.500 1
H1 0.500 0.500 0.500 1